[1]
Compound: Cs2DyBr6
Source: Alexandria
Functional: PBE-GGA
Structure: optimized geometry

Calculated values
Volume = 39.7 Å³ per atom
Final energy = -3.41 eV per atom
Formation energy from raw total energies = -1.60 eV/atom

POSCAR file:
```
Cs2DyBr6
1.0
-4.707 -5.990 2.349
0.901 1.551 -7.768
10.116 -8.126 -0.448
Br Dy Cs
12 2 4
direct
0.164 0.329 0.373
0.005 0.503 0.128
0.497 0.503 0.128
0.503 0.497 0.628
0.836 0.671 0.873
0.329 0.164 0.873
0.671 0.836 0.373
0.995 0.497 0.628
0.503 0.005 0.628
0.164 0.836 0.373
0.497 0.995 0.128
0.836 0.164 0.873
0.667 0.333 0.754
0.333 0.667 0.254
0.000 0.000 0.620
0.000 0.000 0.120
0.667 0.333 0.376
0.333 0.667 0.876
```

[2]
Compound: CsDyFe2Br8
Source: Alexandria
Functional: PBE-GGA
Structure: optimized geometry

Calculated values
Volume = 38.6 Å³ per atom
Final energy = -4.08 eV per atom
Formation energy from raw total energies = -1.10 eV/atom

POSCAR file:
```
CsDyFe2Br8
1.0
6.873 -0.366 0.175
2.846 6.267 0.175
0.856 0.520 10.524
Br Cs Dy Fe
8 1 1 2
direct
0.247 0.247 0.995
0.231 0.731 0.196
0.753 0.753 0.005
0.731 0.231 0.196
0.314 0.314 0.593
0.769 0.269 0.804
0.269 0.769 0.804
0.686 0.686 0.407
0.000 0.000 0.500
0.000 0.000 0.000
0.382 0.382 0.795
0.618 0.618 0.205
```

[3]
Compound: Cs2DyGaBr6
Source: Alexandria
Functional: PBE-GGA
Structure: optimized geometry

Calculated values
Volume = 39.8 Å³ per atom
Final energy = -3.56 eV per atom
Formation energy from raw total energies = -1.63 eV/atom

POSCAR file:
```
Cs2DyGaBr6
1.0
8.180 0.000 -0.018
0.000 8.320 0.000
0.047 0.000 11.689
Br Dy Cs Ga
12 2 4 2
direct
0.442 0.993 0.737
0.726 0.301 0.970
0.058 0.493 0.763
0.558 0.007 0.263
0.302 0.727 0.471
0.198 0.227 0.029
0.802 0.773 0.971
0.698 0.273 0.529
0.274 0.699 0.030
0.942 0.507 0.237
0.774 0.801 0.530
0.226 0.199 0.470
0.500 0.000 0.500
0.000 0.500 0.000
0.489 0.455 0.250
0.511 0.545 0.750
0.989 0.045 0.750
0.011 0.955 0.250
0.500 0.000 0.000
0.000 0.500 0.500
```

[4]
Compound: CsDyGe2Br8
Source: Alexandria
Functional: PBE-GGA
Structure: optimized geometry

Calculated values
Volume = 42.2 Å³ per atom
Final energy = -3.52 eV per atom
Formation energy from raw total energies = -1.18 eV/atom

POSCAR file:
```
CsDyGe2Br8
1.0
7.405 0.380 0.269
0.476 6.675 -0.155
0.340 -0.299 10.303
Br Cs Dy Ge
8 1 1 2
direct
0.309 0.216 0.975
0.603 0.745 0.399
0.397 0.255 0.601
0.135 0.721 0.789
0.821 0.227 0.819
0.865 0.279 0.211
0.179 0.773 0.181
0.691 0.784 0.025
0.000 0.000 0.500
0.000 0.000 0.000
0.440 0.442 0.804
0.560 0.558 0.196
```

[5]
Compound: Cs2DyHBr6
Source: Alexandria
Functional: PBE-GGA
Structure: optimized geometry

Calculated values
Volume = 36.2 Å³ per atom
Final energy = -3.46 eV per atom

POSCAR file:
```
Cs2DyHBr6
1.0
7.687 -1.164 0.001
-1.165 7.693 0.001
3.260 3.264 6.271
Cs Br H Dy
2 6 1 1
direct
0.750 0.250 0.500
0.250 0.750 0.500
0.779 0.779 0.441
0.221 0.221 0.559
0.779 0.220 0.000
0.686 0.684 0.000
0.314 0.316 0.000
0.221 0.780 0.000
0.500 0.500 0.000
0.000 0.000 0.000
```

[6]
Compound: Cs2DyInBr6
Source: Alexandria
Functional: PBE-GGA
Structure: optimized geometry

Calculated values
Volume = 42.0 Å³ per atom
Final energy = -3.56 eV per atom
Formation energy from raw total energies = -1.65 eV/atom

POSCAR file:
```
Cs2DyInBr6
1.0
-7.052 1.440 4.017
-4.317 -4.313 -6.032
1.422 -10.037 6.160
In Br Cs Dy
2 12 4 2
direct
0.000 0.500 0.500
0.500 0.000 0.000
0.682 0.273 0.540
0.277 0.684 0.039
0.923 0.516 0.231
0.077 0.484 0.769
0.182 0.227 0.040
0.318 0.727 0.460
0.223 0.184 0.461
0.818 0.773 0.960
0.577 0.016 0.269
0.423 0.984 0.731
0.723 0.316 0.961
0.777 0.816 0.539
0.482 0.438 0.251
0.982 0.062 0.751
0.018 0.938 0.249
0.518 0.562 0.749
0.500 0.000 0.500
0.000 0.500 0.000
```

[7]
Compound: CsDyIn2Br6
Source: Alexandria
Functional: PBE-GGA
Structure: optimized geometry

Calculated values
Volume = 42.7 Å³ per atom
Final energy = -3.48 eV per atom
Formation energy from raw total energies = -1.39 eV/atom

POSCAR file:
```
CsDyIn2Br6
1.0
-6.747 2.800 3.857
-4.417 -5.059 4.814
0.310 1.138 8.581
Br Cs In Dy
6 1 2 1
direct
0.550 0.242 0.231
0.692 0.160 0.773
0.977 0.550 0.231
0.376 0.691 0.772
0.242 0.978 0.231
0.160 0.376 0.773
0.810 0.810 0.571
0.522 0.521 0.435
0.008 0.008 0.976
0.325 0.325 0.024
```

[8]
Compound: CsK2DyBr6
Source: Alexandria
Functional: PBE-GGA
Structure: optimized geometry

Calculated values
Volume = 43.0 Å³ per atom
Final energy = -3.60 eV per atom
Formation energy from raw total energies = -1.83 eV/atom

POSCAR file:
```
CsK2DyBr6
1.0
-1.507 -1.360 8.005
4.099 -5.934 4.023
6.047 2.363 5.800
K Br Dy Cs
2 6 1 1
direct
0.527 0.527 0.420
0.011 0.011 0.967
0.150 0.386 0.780
0.683 0.150 0.780
0.978 0.554 0.231
0.386 0.683 0.780
0.554 0.236 0.231
0.236 0.978 0.231
0.326 0.326 0.023
0.810 0.810 0.571
```